Computed, not measured: a geometry-optimized KTlNi2 structure at the PBE level of DFT.

a = 6.7517 Å, b = 6.7517 Å, c = 6.7517 Å
α = 90.00°, β = 90.00°, γ = 90.00°
Space group Fm-3m (No. 225)
Unique sites:
K 0.0000 0.0000 0.0000 x4
Tl 0.0000 0.0000 0.5000 x4
Ni 0.2500 0.2500 0.2500 x8

## Properties
Size of the total moment   0.0 Bohr magnetons per cell
Energy above the most stable polymorph in this dataset   491.5 meV/atom
E_form   0.71 eV per atom